(1)
VASP calculation (meta-GGA SCAN) on Li6Cr5CuO12 at its PBEsol-relaxed geometry.

Output
Formation energy (no corrections)   -2.264 eV per atom
Fermi-level density of states   11.69 states/eV/cell
SG   C2/m

```
24
Lattice="4.960 0.000 0.015 2.480 4.259 0.008 1.486 0.000 9.767" Properties=species:S:1:pos:R:3 pbc="T T T"
O 4.885 0.000 5.994
O 4.861 2.831 6.001
O 6.545 2.831 3.797
O 3.152 0.000 1.180
O 3.112 2.780 8.684
O 4.065 1.428 3.789
O 3.334 2.780 1.099
O 1.561 0.000 3.789
O 3.294 0.000 8.603
O 5.592 1.479 8.691
O 2.381 1.428 5.993
O 5.814 1.479 1.106
Li 4.048 1.404 7.275
Li 6.528 2.855 7.282
Li 2.398 1.404 2.508
Li 4.878 2.855 2.516
Li 4.870 0.000 2.449
Li 1.576 0.000 7.333
Cr 4.960 2.858 0.015
Cr 2.480 1.401 0.008
Cr 3.223 2.836 4.891
Cr 5.703 1.422 4.899
Cr 3.223 0.000 4.891
Cu 0.000 0.000 0.000
```


(2)
VASP calculation (meta-GGA SCAN) on Sc2CdP at its PBEsol-relaxed geometry.

Output
Distance to the lowest polymorph of the same formula   1045 meV/atom
Fermi-level density of states   3.89 states/eV/cell
SG   F-43m
ΔE_f   0.12 eV/atom

```
4
Lattice="-4.329 -0.293 1.995 -3.803 -1.050 -2.691 -2.141 -4.245 0.446" Properties=species:S:1:pos:R:3 pbc="T T T"
Sc 0.000 0.000 0.000
Sc -7.705 -4.192 -0.188
P -2.568 -1.397 -0.063
Cd -5.137 -2.794 -0.125
```


(3)
VASP calculation (meta-GGA SCAN) on Ba8Zr3Sb4O24 at its PBEsol-relaxed geometry.

Output
Formation energy (no corrections)   -2.854 eV per atom
Fermi-level density of states   0.00 states/eV/cell
SG   I4/mmm

```
39
Lattice="8.265 0.000 0.000 0.000 8.265 0.000 -4.132 -4.132 8.325" Properties=species:S:1:pos:R:3 pbc="T T T"
O 6.049 0.000 0.000
O 6.215 4.132 0.000
O 4.132 2.049 0.000
O 4.132 6.172 4.061
O 4.132 0.000 2.067
O 0.000 6.049 0.000
O 0.000 0.000 2.347
O 2.092 4.132 4.061
O -2.040 0.000 4.264
O 6.172 4.132 4.061
O 4.132 6.215 0.000
O 0.000 -2.040 4.264
O 0.000 0.000 6.250
O 0.000 2.216 0.000
O 2.049 4.132 0.000
O 4.132 0.000 6.259
O 4.132 4.132 5.978
O 0.000 4.132 2.067
O 2.040 0.000 4.264
O 0.000 2.040 4.264
O 4.132 4.132 2.076
O 4.132 2.092 4.061
O 2.216 0.000 0.000
O 0.000 4.132 6.259
Ba 6.333 6.333 1.975
Ba 2.201 2.201 6.350
Ba -2.201 -2.201 6.350
Ba 1.931 1.931 1.975
Ba 6.333 1.931 1.975
Ba 1.931 6.333 1.975
Ba 2.201 -2.201 6.350
Ba -2.201 2.201 6.350
Zr 0.000 4.132 4.163
Zr 4.132 0.000 4.163
Zr 4.132 4.132 0.000
Sb 4.132 0.000 0.000
Sb 0.000 4.132 0.000
Sb 4.132 4.132 4.048
Sb 0.000 0.000 4.278
```